# CaHg3Au PBE optimized geometry
# Energy relative to the lowest polymorph listed for this composition ... 307 meV/atom
# N(E_F) ... 0.51 states/eV/atom
# Energy of formation ... -0.03 eV per atom
data_CaHg3Au
_chemical_formula_sum 'Ca1 Hg3 Au1'
_space_group_name_H-M_alt 'P m -3 m'
_space_group_IT_number 221
_space_group_name_Hall '-P 4 2 3'
_cell_length_a 5.3357
_cell_length_b 5.3357
_cell_length_c 5.3357
_cell_angle_alpha 90.00
_cell_angle_beta 90.00
_cell_angle_gamma 90.00
loop_
_atom_site_label
_atom_site_type_symbol
_atom_site_fract_x
_atom_site_fract_y
_atom_site_fract_z
Ca1 Ca 0.0000 0.0000 0.0000
Hg1 Hg 0.0000 0.5000 0.5000
Au1 Au 0.5000 0.5000 0.5000


# YNi2Ag PBE optimized geometry
# Energy relative to the lowest polymorph listed for this composition ... 84 meV/atom
# N(E_F) ... 0.68 states/eV/atom
# Energy of formation ... -0.08 eV per atom
data_YNi2Ag
_chemical_formula_sum 'Y1 Ni2 Ag1'
_space_group_name_H-M_alt 'P m m m'
_space_group_IT_number 47
_cell_length_a 3.3565
_cell_length_b 3.3987
_cell_length_c 5.8658
_cell_angle_alpha 90.00
_cell_angle_beta 90.00
_cell_angle_gamma 90.00
loop_
_space_group_symop_operation_xyz
'x,y,z'
'-x,-y,-z'
'-x,-y,z'
'x,y,-z'
'x,-y,-z'
'-x,y,z'
'-x,y,-z'
'x,-y,z'
loop_
_atom_site_label
_atom_site_type_symbol
_atom_site_fract_x
_atom_site_fract_y
_atom_site_fract_z
Y1 Y 0.0000 0.0000 0.0000
Ni1 Ni 0.5000 0.5000 0.2710
Ag1 Ag 0.0000 0.0000 0.5000


# TiSeI PBE optimized geometry
# E_form (uncorrected) ... -0.907 eV/atom
# N(E_F) ... 0.65 states/eV/atom
data_TiSeI
_chemical_formula_sum 'Ti1 Se1 I1'
_space_group_name_H-M_alt 'P 3 m 1'
_space_group_IT_number 156
_cell_length_a 3.7924
_cell_length_b 3.7924
_cell_length_c 6.9299
_cell_angle_alpha 90.00
_cell_angle_beta 90.00
_cell_angle_gamma 120.00
loop_
_space_group_symop_operation_xyz
'x,y,z'
'-y,x-y,z'
'-x+y,-x,z'
'-y,-x,z'
'-x+y,y,z'
'x,x-y,z'
loop_
_atom_site_label
_atom_site_type_symbol
_atom_site_fract_x
_atom_site_fract_y
_atom_site_fract_z
Ti1 Ti 0.0000 0.0000 0.0000
Se1 Se 0.6667 0.3333 0.1917
I1 I 0.3333 0.6667 0.7280


# LaZrAs2 PBE optimized geometry
# Energy relative to the lowest polymorph listed for this composition ... 0 meV/atom
# N(E_F) ... 0.52 states/eV/atom
# Energy of formation ... -1.34 eV per atom
data_LaZrAs2
_chemical_formula_sum 'La3 Zr3 As6'
_space_group_name_H-M_alt 'R -3 m'
_space_group_IT_number 166
_space_group_name_Hall '-R 3 2"'
_cell_length_a 4.0746
_cell_length_b 4.0746
_cell_length_c 20.3747
_cell_angle_alpha 90.00
_cell_angle_beta 90.00
_cell_angle_gamma 120.00
loop_
_atom_site_label
_atom_site_type_symbol
_atom_site_fract_x
_atom_site_fract_y
_atom_site_fract_z
La1 La 0.0000 0.0000 0.0000
Zr1 Zr 0.0000 0.0000 0.5000
As1 As 0.0000 0.0000 0.2405


# Te2Mo3WSe4S2 PBE optimized geometry
# Energy relative to the lowest polymorph listed for this composition ... 16 meV/atom
# E_form (uncorrected) ... -0.561 eV/atom
# N(E_F) ... 0.06 states/eV/atom
data_Te2Mo3WSe4S2
_chemical_formula_sum 'Te2 Mo3 W1 Se4 S2'
_space_group_name_H-M_alt 'P 3 m 1'
_space_group_IT_number 156
_cell_length_a 3.3424
_cell_length_b 3.3424
_cell_length_c 32.8476
_cell_angle_alpha 90.00
_cell_angle_beta 90.00
_cell_angle_gamma 120.00
loop_
_space_group_symop_operation_xyz
'x,y,z'
'-y,x-y,z'
'-x+y,-x,z'
'-y,-x,z'
'-x+y,y,z'
'x,x-y,z'
loop_
_atom_site_label
_atom_site_type_symbol
_atom_site_fract_x
_atom_site_fract_y
_atom_site_fract_z
Te1 Te 0.0000 0.0000 0.0000
Te2 Te 0.0000 0.0000 0.1156
Mo1 Mo 0.0000 0.0000 0.8362
Mo2 Mo 0.6667 0.3333 0.0578
Mo3 Mo 0.6667 0.3333 0.6177
W1 W 0.0000 0.0000 0.2892
Se1 Se 0.0000 0.0000 0.5670
Se2 Se 0.0000 0.0000 0.6685
Se3 Se 0.6667 0.3333 0.2382
Se4 Se 0.6667 0.3333 0.3402
S1 S 0.6667 0.3333 0.7900
S2 S 0.6667 0.3333 0.8824


# Th8Ir3Se4N PBE optimized geometry
# E_form (uncorrected) ... -1.289 eV/atom
# N(E_F) ... 1.00 states/eV/atom
data_Th8Ir3Se4N
_chemical_formula_sum 'Th24 Ir9 Se12 N3'
_space_group_name_H-M_alt 'R -3 m'
_space_group_IT_number 166
_space_group_name_Hall '-R 3 2"'
_cell_length_a 8.1400
_cell_length_b 8.1400
_cell_length_c 21.5931
_cell_angle_alpha 90.00
_cell_angle_beta 90.00
_cell_angle_gamma 120.00
loop_
_atom_site_label
_atom_site_type_symbol
_atom_site_fract_x
_atom_site_fract_y
_atom_site_fract_z
Th1 Th 0.0000 0.0000 0.2392
Th2 Th 0.0167 0.5083 0.2390
Ir1 Ir 0.0000 0.5000 0.5000
Se1 Se 0.0000 0.0000 0.0000
Se2 Se 0.0000 0.5000 0.0000
N1 N 0.0000 0.0000 0.5000